(1)
First-principles (GGA-PBE) data for a relaxed Mg2ScCu crystal, as listed in the Alexandria database.

Values from the calculation:
N(E_F), states/eV per cell: 11.3
Energy of formation from the pure elements, eV/atom: 0.086
Energy, eV per atom: -3.318

abc: 3.1184 3.1184 28.6718
angles: 90.00 90.00 120.00
Last column: nearest neighbours and their distance in Å.
Space group R-3m (No. 166, hexagonal axes)
One atom of each set of equivalent atoms:
Mg 0.0000 0.0000 0.2396 [6 per cell]  3 Cu 2.76
Sc 0.0000 0.0000 0.0000 [3 per cell]  6 Sc 3.12, 6 Mg 3.24
Cu 0.0000 0.0000 0.5000 [3 per cell]  6 Mg 2.76


(2)
First-principles (GGA-PBE) data for a relaxed In2TeMo crystal, as listed in the Alexandria database.

Values from the calculation:
Formation energy without anion corrections, eV/atom: 0.60
N(E_F), states/eV per cell: 9.7
Energy, eV per atom: -4.263

abc: 7.2321 7.2321 7.2321
angles: 90.00 90.00 90.00
Last column: nearest neighbours and their distance in Å.
Space group F-43m (No. 216)
One atom of each set of equivalent atoms:
In 0.0000 0.0000 0.0000 [4 per cell]  4 In 3.13, 4 Mo 3.13
In 0.2500 0.2500 0.2500 [4 per cell]  4 Te 3.13, 4 In 3.13
Te 0.0000 0.0000 0.5000 [4 per cell]  4 Mo 3.13, 4 In 3.13
Mo 0.2500 0.2500 0.7500 [4 per cell]  4 In 3.13, 4 Te 3.13


(3)
First-principles (GGA-PBE) data for a relaxed Ac2Ru3O10 crystal, as listed in the Alexandria database.

Values from the calculation:
Formation energy without anion corrections, eV/atom: -1.78
N(E_F), states/eV per cell: 23.1
Energy, eV per atom: -7.488

abc: 18.3243 5.7262 7.7254
angles: 90.00 112.25 90.00
Last column: nearest neighbours and their distance in Å.
Space group C2/m (No. 12)
One atom of each set of equivalent atoms:
Ac 0.1156 0.0000 0.2131 [4 per cell]  10 O 2.64-2.88
Ac 0.2188 0.0000 0.8080 [4 per cell]  7 O 2.53-2.81
Ru 0.0000 0.2226 0.5000 [4 per cell]  6 O 1.97-2.04
Ru 0.0774 0.5000 0.9574 [4 per cell]  6 O 1.91-2.05
Ru 0.1770 0.5000 0.5180 [4 per cell]  6 O 1.88-2.02
O 0.0000 0.2702 0.0000 [4 per cell]  2 Ru 2.05
O 0.0227 0.0000 0.7077 [4 per cell]  2 Ru 1.97
O 0.0236 0.5000 0.6777 [4 per cell]  3 Ru 2.01-2.04
O 0.1110 0.2336 0.5202 [8 per cell]  2 Ru 1.95-1.98
O 0.1359 0.5000 0.2353 [4 per cell]  2 Ru 2.00-2.02
O 0.1504 0.2569 0.9667 [8 per cell]  1 Ru 1.91
O 0.2341 0.5000 0.7771 [4 per cell]  1 Ru 1.88
O 0.2500 0.2500 0.5000 [4 per cell]  2 Ru 2.00


Number 1: total magnetization 0.0 μB per cell. Number 2: total magnetization 11.7 μB per cell. Number 3: total magnetization 15.4 μB per cell.